Density functional theory data (PBE) for a relaxed structure of TlIn2F2.

Output
total magnetic moment = 0.00 μB per formula unit
space-group type = No. 127
density of states at the Fermi level = 1.4 states/eV/f.u.
ΔE to the lowest computed polymorph = 0.78 eV/f.u.

```
TlIn2F2
1.0
8.255 0.000 0.000
0.000 8.255 0.000
0.000 0.000 3.177
Tl In F
2 4 4
direct
0.000 0.000 0.000 Tl
0.500 0.500 0.000 Tl
0.143 0.357 0.500 In
0.357 0.857 0.500 In
0.643 0.143 0.500 In
0.857 0.643 0.500 In
0.111 0.611 0.000 F
0.389 0.111 0.000 F
0.611 0.889 0.000 F
0.889 0.389 0.000 F
```